1.
## ScSb2PtI (PBE)

Data for ScSb2PtI after structural relaxation.

a = 5.2372 Å, b = 5.2372 Å, c = 5.4919 Å
α = 90.00°, β = 90.00°, γ = 90.00°
Closest atoms and distances in Å follow each position.
Positions (direct):
I  0.0000  0.0000  0.5000  2 Pt 2.75
Pt  0.0000  0.0000  0.0000  4 Sb 2.62, 2 I 2.75
Sb  0.0000  0.5000  0.0000  2 Pt 2.62
Sc  0.5000  0.5000  0.5000  4 I 3.70, 8 Sb 3.79
Sb  0.5000  0.0000  0.0000  2 Pt 2.62

Computed properties:
- Total moment: 0.00 μB per formula unit
- Raw formation energy: 240 meV/atom



2.
## VAgRh2C (PBE)

Data for VAgRh2C after structural relaxation.

a = 4.5688 Å, b = 3.8735 Å, c = 4.5688 Å
α = 90.00°, β = 90.00°, γ = 90.00°
Closest atoms and distances in Å follow each position.
Positions (direct):
C  0.0000  0.5000  0.0000  2 V 1.94
Rh  0.0000  0.0000  0.5000  2 V 2.28
Ag  0.5000  0.5000  0.5000  8 Rh 2.99, 4 C 3.23
V  0.0000  0.0000  0.0000  2 C 1.94
Rh  0.5000  0.0000  0.0000  2 V 2.28

Computed properties:
- Total moment: 0.00 μB per formula unit
- Formation energy from the elements: 1178 meV per atom



3.
## La4CePr3Se8 (PBE)

Data for La4CePr3Se8 after structural relaxation.

a = 8.5678 Å, b = 8.5681 Å, c = 8.5685 Å
α = 120.00°, β = 120.00°, γ = 90.00°
Closest atoms and distances in Å follow each position.
Positions (direct):
Pr  0.5000  0.5000  0.5000  6 Se 3.02
La  0.0000  0.0000  0.0000  6 Se 3.04
Se  0.2505  0.2516  0.5011  3 Pr 3.02, 3 La 3.04
La  0.5000  0.0000  0.5000  6 Se 3.04
Se  0.7526  0.2539  0.5053  1 Ce 3.00, 2 Pr 3.02, 3 La 3.04-3.06
Se  0.7526  0.2539  0.0012  1 Ce 3.00, 2 Pr 3.02, 3 La 3.04-3.06
La  0.5000  0.0000  0.0000  6 Se 3.06
Se  0.7495  0.7484  0.4989  3 Pr 3.02, 3 La 3.04
La  0.0000  0.0000  0.5000  6 Se 3.04
Se  0.2486  0.2539  0.0012  1 Ce 3.00, 2 Pr 3.02, 3 La 3.04-3.06
Se  0.7514  0.7461  0.9988  1 Ce 3.00, 2 Pr 3.02, 3 La 3.04-3.06
Se  0.2474  0.7461  0.9988  1 Ce 3.00, 2 Pr 3.02, 3 La 3.04-3.06
Se  0.2474  0.7461  0.4947  1 Ce 3.00, 2 Pr 3.02, 3 La 3.04-3.06
Pr  0.5000  0.5000  0.0000  6 Se 3.02
Pr  0.0000  0.5000  0.5000  6 Se 3.02
Ce  0.0000  0.5000  0.0000  6 Se 3.00

Computed properties:
- Total moment: 1.05 μB per formula unit
- Raw formation energy: -1923 meV/atom



4.
## BaZnNi2 (PBE)

Data for BaZnNi2 after structural relaxation.

a = 4.1328 Å, b = 4.7290 Å, c = 4.9096 Å
α = 80.52°, β = 90.00°, γ = 90.00°
Closest atoms and distances in Å follow each position.
Positions (direct):
Zn  0.0000  0.4860  0.2951  4 Ni 2.37-2.47
Ni  0.0000  0.9949  0.2271  2 Ni 2.33, 2 Zn 2.37-2.40
Ni  0.5000  0.2217  0.2214  2 Ni 2.33, 2 Zn 2.47
Ba  0.5000  0.7974  0.7564  7 Ni 3.03-3.35

Computed properties:
- Total moment: 0.00 μB per formula unit
- Formation energy from the elements: 68 meV per atom



5.
## BaCuP2 (PBE)

Data for BaCuP2 after structural relaxation.

a = 3.9038 Å, b = 4.6482 Å, c = 5.4965 Å
α = 89.97°, β = 90.00°, γ = 90.00°
Closest atoms and distances in Å follow each position.
Positions (direct):
P  0.0000  0.7495  0.5327  2 Cu 2.29, 1 P 2.39
Ba  0.5000  0.2500  0.2500  8 P 3.41, 4 Cu 3.60
P  0.0000  0.7505  0.9673  2 Cu 2.29, 1 P 2.39
Cu  0.5000  0.7500  0.7500  4 P 2.29

Computed properties:
- Total moment: 0.00 μB per formula unit
- Formation energy from the elements: -511 meV per atom



6.
## TbMgGa2Au5 (PBE)

Data for TbMgGa2Au5 after structural relaxation.

a = 4.7273 Å, b = 4.7273 Å, c = 8.2192 Å
α = 90.00°, β = 90.00°, γ = 90.00°
Closest atoms and distances in Å follow each position.
Positions (direct):
Au  0.5000  0.0000  0.7320  2 Ga 2.56
Ga  0.5000  0.5000  0.8525  1 Ga 2.42, 4 Au 2.56
Au  0.0000  0.5000  0.7320  2 Ga 2.56
Au  0.0000  0.5000  0.2680  2 Ga 2.56
Ga  0.5000  0.5000  0.1475  1 Ga 2.42, 4 Au 2.56
Au  0.5000  0.5000  0.5000  2 Ga 2.90, 8 Au 3.04
Mg  0.0000  0.0000  0.0000  8 Au 3.23, 8 Ga 3.56
Tb  0.0000  0.0000  0.5000  12 Au 3.04-3.34
Au  0.5000  0.0000  0.2680  2 Ga 2.56

Computed properties:
- Total moment: 0.00 μB per formula unit
- Formation energy from the elements: -388 meV per atom



7.
## CeHoZn2 (PBE)

Data for CeHoZn2 after structural relaxation.

a = 5.0771 Å, b = 5.0771 Å, c = 5.0771 Å
α = 60.00°, β = 60.00°, γ = 60.00°
Closest atoms and distances in Å follow each position.
Positions (direct):
Ce  0.2500  0.2500  0.2500  8 Zn 3.11
Zn  0.0000  0.0000  0.0000  4 Ce 3.11, 4 Ho 3.11
Zn  0.5000  0.5000  0.5000  4 Ce 3.11, 4 Ho 3.11
Ho  0.7500  0.7500  0.7500  8 Zn 3.11

Computed properties:
- Total moment: 1.09 μB per formula unit
- Formation energy from the elements: -258 meV per atom



8.
## GaCoCu14 (PBE)

Data for GaCoCu14 after structural relaxation.

a = 5.1539 Å, b = 5.1539 Å, c = 8.4214 Å
α = 90.00°, β = 90.00°, γ = 120.86°
Closest atoms and distances in Å follow each position.
Positions (direct):
Cu  0.8727  0.6224  0.2491  10 Cu 2.52-2.59, 1 Co 2.58, 1 Ga 2.59
Co  0.5389  0.4611  0.5000  2 Ga 2.54, 10 Cu 2.56-2.58
Cu  0.8727  0.6224  0.7509  10 Cu 2.52-2.59, 1 Co 2.58, 1 Ga 2.59
Cu  0.0391  0.4610  0.5000  8 Cu 2.54-2.58, 2 Ga 2.57-2.58, 2 Co 2.58
Cu  0.2099  0.2884  0.0000  12 Cu 2.53-2.58
Cu  0.3776  0.1273  0.2491  10 Cu 2.52-2.59, 1 Co 2.58, 1 Ga 2.59
Cu  0.7116  0.7901  0.0000  12 Cu 2.53-2.58
Cu  0.3776  0.1273  0.7509  10 Cu 2.52-2.59, 1 Co 2.58, 1 Ga 2.59
Cu  0.5390  0.9609  0.5000  8 Cu 2.54-2.58, 2 Ga 2.57-2.58, 2 Co 2.58
Cu  0.8741  0.1259  0.7509  11 Cu 2.54-2.59, 1 Ga 2.58
Cu  0.3758  0.6242  0.7501  11 Cu 2.54-2.59, 1 Co 2.56
Ga  0.0397  0.9603  0.5000  2 Co 2.54, 10 Cu 2.57-2.59
Cu  0.2103  0.7897  0.0000  12 Cu 2.54-2.58
Cu  0.8741  0.1259  0.2491  11 Cu 2.54-2.59, 1 Ga 2.58
Cu  0.3758  0.6242  0.2499  11 Cu 2.54-2.59, 1 Co 2.56
Cu  0.7111  0.2889  0.0000  12 Cu 2.54-2.58

Computed properties:
- Total moment: 0.95 μB per formula unit
- Formation energy from the elements: 0 meV per atom



9.
## RbCaCl2 (PBE)

Data for RbCaCl2 after structural relaxation.

a = 10.3670 Å, b = 10.3670 Å, c = 10.3670 Å
α = 24.33°, β = 24.33°, γ = 24.33°
Closest atoms and distances in Å follow each position.
Positions (direct):
Ca  0.5000  0.5000  0.5000  6 Cl 2.83
Rb  0.0000  0.0000  0.0000  2 Cl 3.74
Cl  0.8761  0.8761  0.8761  3 Ca 2.83
Cl  0.1239  0.1239  0.1239  3 Ca 2.83

Computed properties:
- Total moment: 0.00 μB per formula unit
- Raw formation energy: -1716 meV/atom



10.
## CsAgPO4 (PBE)

Data for CsAgPO4 after structural relaxation.

a = 6.1228 Å, b = 6.1228 Å, c = 6.1228 Å
α = 60.00°, β = 60.00°, γ = 60.00°
Closest atoms and distances in Å follow each position.
Positions (direct):
O  0.3530  0.9409  0.3530  1 P 1.55
Cs  0.7500  0.7500  0.7500  12 O 3.66, 4 Ag 3.75
O  0.3530  0.3530  0.3530  1 P 1.55
Ag  0.5000  0.5000  0.5000  4 O 2.20
O  0.9409  0.3530  0.3530  1 P 1.55
O  0.3530  0.3530  0.9409  1 P 1.55
P  0.2500  0.2500  0.2500  4 O 1.55

Computed properties:
- Total moment: 1.08 μB per formula unit
- Raw formation energy: -1502 meV/atom



11.
## HfZn3Co (PBE)

Data for HfZn3Co after structural relaxation.

a = 4.7937 Å, b = 5.0313 Å, c = 6.8337 Å
α = 90.00°, β = 112.17°, γ = 90.00°
Closest atoms and distances in Å follow each position.
Positions (direct):
Zn  0.7172  0.6986  0.4736  2 Co 2.49-2.56, 5 Zn 2.51-2.72
Zn  0.3171  0.1986  0.0869  2 Co 2.49-2.56, 5 Zn 2.51-2.72
Hf  0.7259  0.9476  0.8881  4 Co 2.52-2.72
Zn  0.1566  0.9476  0.3808  1 Co 2.50, 4 Zn 2.72
Zn  0.7172  0.1966  0.4736  2 Co 2.49-2.56, 5 Zn 2.51-2.72
Co  0.8751  0.4476  0.8126  5 Zn 2.49-2.56, 4 Hf 2.52-2.72
Hf  0.3084  0.4476  0.6725  4 Co 2.52-2.72
Zn  0.3171  0.6966  0.0869  2 Co 2.49-2.56, 5 Zn 2.51-2.72
Zn  0.8777  0.4476  0.1798  1 Co 2.50, 4 Zn 2.72
Co  0.1592  0.9476  0.7480  5 Zn 2.49-2.56, 4 Hf 2.52-2.72

Computed properties:
- Total moment: 0.00 μB per formula unit
- Formation energy from the elements: -211 meV per atom



12.
## Na2HfPt3O12 (PBE)

Data for Na2HfPt3O12 after structural relaxation.

a = 7.4753 Å, b = 7.4753 Å, c = 7.4753 Å
α = 57.89°, β = 57.89°, γ = 57.89°
Closest atoms and distances in Å follow each position.
Positions (direct):
O  0.3329  0.9293  0.9293  1 Pt 1.95, 1 Hf 2.06
O  0.9293  0.3329  0.9293  1 Pt 1.95, 1 Hf 2.06
O  0.0707  0.0707  0.6671  1 Pt 1.95, 1 Hf 2.06
O  0.6671  0.0707  0.0707  1 Pt 1.95, 1 Hf 2.06
O  0.0707  0.6671  0.0707  1 Pt 1.95, 1 Hf 2.06
O  0.9288  0.3253  0.3253  2 Pt 1.97
Pt  0.0000  0.0000  0.5000  6 O 1.95-1.97
O  0.6747  0.6747  0.0712  2 Pt 1.97
Na  0.6951  0.6951  0.6951  6 O 2.58-2.66
O  0.3253  0.9288  0.3253  2 Pt 1.97
O  0.6747  0.0712  0.6747  2 Pt 1.97
O  0.3253  0.3253  0.9288  2 Pt 1.97
Pt  0.0000  0.5000  0.0000  6 O 1.95-1.97
Hf  0.0000  0.0000  0.0000  6 O 2.06
Pt  0.5000  0.0000  0.0000  6 O 1.95-1.97
Na  0.3049  0.3049  0.3049  6 O 2.58-2.66
O  0.0712  0.6747  0.6747  2 Pt 1.97
O  0.9293  0.9293  0.3329  1 Pt 1.95, 1 Hf 2.06

Computed properties:
- Total moment: 4.38 μB per formula unit
- Raw formation energy: -914 meV/atom